Record 1
Below is a relaxed Li3Zr3CuTe8 crystal, with properties calculated at the PBE level.

Properties
VASP energy: -71.59 eV for the cell shown
Space-group type: C2/m
Raw formation energy: -731 meV/atom
Total magnetization: 0.00 μB per cell
Crystal system: monoclinic

abc: 8.148 8.137 8.472
angles: 118.68 90.00 120.05
Fractional positions:
Li1 0.000 0.000 0.000
Li2 0.000 0.500 0.000
Li3 0.500 0.500 0.000
Zr1 0.500 0.000 0.500
Zr2 0.500 0.500 0.500
Zr3 0.000 0.500 0.500
Cu1 0.000 0.000 0.500
Te1 0.250 0.499 0.249
Te2 0.750 0.501 0.751
Te3 0.759 0.519 0.263
Te4 0.241 0.481 0.737
Te5 0.758 0.004 0.262
Te6 0.242 0.996 0.738
Te7 0.247 0.004 0.262
Te8 0.753 0.996 0.738

=====

Record 2
Below is a relaxed LiThCu17 crystal, with properties calculated at the PBE level.

Properties
VASP energy: -79.44 eV for the cell shown
Space-group type: R3m
Total magnetization: 0.00 μB per cell
Energy of formation: -0.47 eV per formula unit
Crystal system: trigonal

abc: 6.441 6.441 6.441
angles: 82.79 82.79 82.79
Fractional positions:
Li1 0.341 0.341 0.341
Th1 0.658 0.658 0.658
Cu1 0.297 0.003 0.699
Cu2 0.699 0.297 0.003
Cu3 0.003 0.699 0.297
Cu4 0.297 0.699 0.003
Cu5 0.003 0.297 0.699
Cu6 0.699 0.003 0.297
Cu7 0.343 0.854 0.343
Cu8 0.343 0.343 0.854
Cu9 0.854 0.343 0.343
Cu10 0.651 0.158 0.651
Cu11 0.651 0.651 0.158
Cu12 0.158 0.651 0.651
Cu13 0.997 0.500 0.997
Cu14 0.997 0.997 0.500
Cu15 0.500 0.997 0.997
Cu16 0.906 0.906 0.906
Cu17 0.102 0.102 0.102

=====

Record 3
Below is a relaxed Li2ThCu9 crystal, with properties calculated at the PBE level.

Properties
VASP energy: -49.30 eV for the cell shown
Space-group type: R-3m
Total magnetization: 0.00 μB per cell
Energy of formation: -1.19 eV per formula unit
Crystal system: trigonal

abc: 5.032 5.032 8.594
angles: 72.98 72.98 60.00
Fractional positions:
Li1 0.850 0.850 0.449
Li2 0.150 0.150 0.551
Th1 0.000 0.000 0.000
Cu1 0.667 0.667 0.998
Cu2 0.333 0.333 0.002
Cu3 0.500 0.500 0.500
Cu4 0.414 0.414 0.256
Cu5 0.916 0.414 0.256
Cu6 0.414 0.916 0.256
Cu7 0.586 0.586 0.744
Cu8 0.586 0.084 0.744
Cu9 0.084 0.586 0.744

=====

Record 4
Below is a relaxed Li3ThCu3 crystal, with properties calculated at the PBE level.

Properties
VASP energy: -45.07 eV for the cell shown
Space-group type: Pm-3n
Total magnetization: 0.00 μB per cell
Energy of formation: 2.91 eV per formula unit
Crystal system: cubic

abc: 6.304 6.304 6.304
angles: 90.00 90.00 90.00
Fractional positions:
Cu1 0.000 0.250 0.500
Cu2 0.000 0.750 0.500
Cu3 0.500 0.000 0.750
Cu4 0.750 0.500 0.000
Cu5 0.500 0.000 0.250
Cu6 0.250 0.500 0.000
Th1 0.500 0.500 0.500
Th2 0.000 0.000 0.000
Li1 0.250 0.000 0.500
Li2 0.000 0.500 0.250
Li3 0.500 0.750 0.000
Li4 0.750 0.000 0.500
Li5 0.000 0.500 0.750
Li6 0.500 0.250 0.000